{
  "formula": "NaV2PbO6",
  "functional": "PBE with a Hubbard U",
  "state": "relaxed",
  "sg": "C2/c (15)",
  "rho_kg_m3": 4208,
  "dos_ef_per_ev_cell": 3.0,
  "total_energy_ev_per_fu": -67.36,
  "lattice": [[-4.5501, 1.6605, 3.6467], [0.4898, -4.8669, 5.9462], [3.2177, 5.0600, 4.8298]],
  "species": ["Na", "Na", "V", "V", "V", "V", "Pb", "Pb", "O", "O", "O", "O", "O", "O", "O", "O", "O", "O", "O", "O"],
  "frac_coords": [[0.2500, 0.2940, 0.7060], [0.7500, 0.7060, 0.2940], [0.2788, 0.8016, 0.6177], [0.2212, 0.3823, 0.1984], [0.7212, 0.1984, 0.3823], [0.7788, 0.6177, 0.8016], [0.2500, 0.8852, 0.1148], [0.7500, 0.1148, 0.8852], [0.1720, 0.9934, 0.7386], [0.3280, 0.2614, 0.0066], [0.8280, 0.0066, 0.2614], [0.6720, 0.7386, 0.9934], [0.3511, 0.8410, 0.3868], [0.1489, 0.6132, 0.1590], [0.6489, 0.1590, 0.6132], [0.8511, 0.3868, 0.8410], [0.0549, 0.6694, 0.6746], [0.4451, 0.3254, 0.3306], [0.9451, 0.3306, 0.3254], [0.5549, 0.6746, 0.6694]]
}